The following is a PBE calculation of SmNp2CrN4 after structural relaxation, from Alexandria.

Structure (POSCAR):
```
SmNp2CrN4
1.0
1.674 -5.744 0.000
1.674 5.744 0.000
0.000 0.000 11.364
Sm Np Cr N
2 4 2 8
Direct
0.105 0.895 0.750
0.895 0.105 0.250
0.368 0.632 0.551
0.368 0.632 0.949
0.632 0.368 0.051
0.632 0.368 0.449
0.158 0.842 0.250
0.842 0.158 0.750
0.000 0.000 0.000
0.000 0.000 0.500
0.269 0.731 0.121
0.269 0.731 0.379
0.442 0.558 0.750
0.558 0.442 0.250
0.731 0.269 0.621
0.731 0.269 0.879
```

Values from the calculation:
Mass density, g/cm³: 11.1
Calculated volume, Å³ per cell: 218.57
Formation energy from raw total energies, meV/atom: -1026
Magnetic moment, μB/f.u.: 4.40


The following is a PBE calculation of Mg2ZnPb after structural relaxation, from Alexandria.

Structure (POSCAR):
```
Mg2ZnPb
1.0
2.012 1.162 7.083
-2.012 1.162 7.083
0.000 -2.323 7.083
Mg Zn Pb
2 1 1
Direct
0.000 0.000 0.000
0.197 0.197 0.197
0.598 0.598 0.598
0.433 0.433 0.433
```

Values from the calculation:
Mass density, g/cm³: 5.4
Formation energy from the elements, eV per atom: 0.108
Calculated volume, Å³ per cell: 99.31
Magnetic moment, μB/f.u.: 0.00


The following is a PBE calculation of In4Hg after structural relaxation, from Alexandria.

Structure (POSCAR):
```
In4Hg
1.0
-3.795 3.795 2.312
3.795 -3.795 2.312
3.795 3.795 -2.312
In Hg
4 1
Direct
0.101 0.703 0.803
0.297 0.101 0.398
0.703 0.899 0.602
0.899 0.297 0.197
0.500 0.500 0.000
```

Values from the calculation:
Mass density, g/cm³: 8.2
Formation energy from the elements, eV per atom: 0.015
Calculated volume, Å³ per cell: 133.19
Magnetic moment, μB/f.u.: 0.00
Energy above the most stable polymorph in this dataset, meV/atom: 2


The following is a PBE calculation of CsTlHg2Bi after structural relaxation, from Alexandria.

Structure (POSCAR):
```
CsTlHg2Bi
1.0
-2.600 2.749 6.452
2.600 -2.749 6.452
2.600 2.749 -6.452
Cs Tl Hg Bi
1 1 2 1
Direct
0.000 0.000 0.000
0.237 0.737 0.500
0.616 0.616 0.000
0.745 0.245 0.500
0.380 0.380 0.000
```

Values from the calculation:
Mass density, g/cm³: 8.5
Formation energy from the elements, eV per atom: -0.207
Calculated volume, Å³ per cell: 184.49
Magnetic moment, μB/f.u.: 0.00
Energy above the most stable polymorph in this dataset, meV/atom: 0


The following is a PBE calculation of YSb2As after structural relaxation, from Alexandria.

Structure (POSCAR):
```
YSb2As
1.0
-2.151 2.151 5.451
2.151 -2.151 5.451
2.151 2.151 -5.451
Y Sb As
1 2 1
Direct
0.000 0.000 0.000
0.250 0.750 0.500
0.750 0.250 0.500
0.500 0.500 0.000
```

Values from the calculation:
Mass density, g/cm³: 6.7
Calculated volume, Å³ per cell: 100.92
Formation energy from raw total energies, meV/atom: -480
Magnetic moment, μB/f.u.: 0.00


The following is a PBE calculation of MgTe after structural relaxation, from Alexandria.

Structure (POSCAR):
```
MgTe
1.0
4.024 0.000 0.000
0.000 4.024 0.000
0.000 0.000 6.133
Mg Te
1 1
Direct
0.000 0.000 0.000
0.500 0.500 0.000
```

Values from the calculation:
Mass density, g/cm³: 2.5
Calculated volume, Å³ per cell: 99.34
Formation energy from raw total energies, meV/atom: -462
Magnetic moment, μB/f.u.: 0.00


The following is a PBE calculation of Co2RuPb after structural relaxation, from Alexandria.

Structure (POSCAR):
```
Co2RuPb
1.0
4.254 -1.488 0.000
4.254 1.488 0.000
-1.016 0.000 4.717
Co Ru Pb
2 1 1
Direct
0.000 0.000 0.000
0.738 0.738 0.213
0.260 0.260 0.816
0.496 0.496 0.486
```

Values from the calculation:
Mass density, g/cm³: 11.8
Formation energy from the elements, eV per atom: 0.509
Calculated volume, Å³ per cell: 59.72
Magnetic moment, μB/f.u.: 1.42